1.
VASP calculation (PBE) on crystalline Ga3BiBr6 at its relaxed geometry.

abc: 9.048 9.048 9.048
angles: 92.81 92.81 92.81
Fractional positions:
Ga  0.089  0.576  0.246
Ga  0.246  0.089  0.576
Ga  0.424  0.754  0.911
Ga  0.576  0.246  0.089
Ga  0.754  0.911  0.424
Ga  0.911  0.424  0.754
Bi  0.000  0.000  0.000
Bi  0.500  0.500  0.500
Br  0.061  0.696  0.917
Br  0.083  0.939  0.304
Br  0.193  0.415  0.543
Br  0.304  0.083  0.939
Br  0.415  0.543  0.193
Br  0.457  0.807  0.585
Br  0.543  0.193  0.415
Br  0.585  0.457  0.807
Br  0.696  0.917  0.061
Br  0.807  0.585  0.457
Br  0.917  0.061  0.696
Br  0.939  0.304  0.083

Output
raw formation energy = -0.6145 eV per atom

---

2.
VASP calculation (PBE) on crystalline Ga3BiBr at its relaxed geometry.

abc: 5.766 5.766 5.766
angles: 90.00 90.00 90.00
Fractional positions:
Ga  0.000  0.500  0.000
Ga  0.000  0.000  0.500
Ga  0.500  0.000  0.000
Bi  0.000  0.000  0.000
Br  0.500  0.500  0.500

Output
raw formation energy = 0.3234 eV per atom
energy above the most stable polymorph in this dataset = 0.0000 eV/atom

---

3.
VASP calculation (PBE) on crystalline GaBiBr at its relaxed geometry.

abc: 4.968 5.609 6.557
angles: 90.01 90.00 90.00
Fractional positions:
Ga  0.598  0.536  0.478
Ga  0.098  0.036  0.876
Bi  0.098  0.536  0.707
Bi  0.598  0.036  0.647
Br  0.098  0.037  0.240
Br  0.598  0.536  0.114

Output
raw formation energy = -0.2180 eV per atom